{"formula": "Th2FeCuPd", "functional": "GGA-PBE", "state": "optimized geometry", "formation_enthalpy_0k_ev_per_atom": -0.343, "lattice_angstrom": [[7.4313, 0.0000, 0.0000], [0.0000, 3.8985, 0.0000], [-3.0668, 0.0000, 7.2016]], "species": ["Th", "Th", "Th", "Th", "Fe", "Fe", "Cu", "Cu", "Pd", "Pd"], "fractional_positions": [[0.0194, 0.2500, 0.2134], [0.3677, 0.7500, 0.6380], [0.6323, 0.2500, 0.3620], [0.9806, 0.7500, 0.7866], [0.0928, 0.2500, 0.6004], [0.9072, 0.7500, 0.3996], [0.3623, 0.2500, 0.9394], [0.6377, 0.7500, 0.0606], [0.3132, 0.7500, 0.1799], [0.6868, 0.2500, 0.8201]]}